First-principles (PBE+U) data for a relaxed structure of AgGeMoO6, as listed in Alexandria via LeMat-Bulk. Values from VASP.

Summary:
Its space-group type is P-31c (163). The calculation puts the total energy at -0.22238 Ha/atom. The theoretical density is 5.61 g/cm³.

```
&SYSTEM
  ibrav = 0, nat = 18, ntyp = 4
/
ATOMIC_SPECIES
O 16.00 O.upf
Mo 95.94 Mo.upf
Ge 72.64 Ge.upf
Ag 107.87 Ag.upf
CELL_PARAMETERS angstrom
5.158 0.000 0.000
-2.579 4.467 0.000
0.000 0.000 9.575
ATOMIC_POSITIONS crystal
O 0.624 0.995 0.859
O 0.624 0.629 0.641
O 0.995 0.624 0.359
O 0.371 0.376 0.859
O 0.005 0.376 0.641
O 0.629 0.624 0.141
O 0.995 0.371 0.141
O 0.005 0.629 0.859
O 0.376 0.371 0.359
O 0.371 0.995 0.641
O 0.629 0.005 0.359
O 0.376 0.005 0.141
Mo 0.333 0.667 0.250
Mo 0.667 0.333 0.750
Ge 0.333 0.667 0.750
Ge 0.667 0.333 0.250
Ag 0.000 0.000 0.500
Ag 0.000 0.000 0.000
```